The following is a DFT calculation (PBE+U) of an optimized crystal structure of DyErV2O8.

Energy, eV per cell: -193.4
Magnetic moment, μB per formula unit: 0.000

a b c (Å): 7.182 7.182 6.336
angles (deg): 90.00 90.00 90.00
Space group I-4m2 (No. 119)
Unique sites:
Dy: 0.000 0.000 0.000
Er: 0.000 0.500 0.750
V: 0.000 0.000 0.500
V: 0.000 0.500 0.250
O: 0.000 0.186 0.676
O: 0.000 0.315 0.073